# 1
PrAlCu2Ge: optimized geometry, PBE.

## Properties
Total moment in Bohr magnetons per cell: 0.02
Raw total energy in eV per atom: -4.634

a = 4.1901 Å, b = 4.1901 Å, c = 10.2831 Å
α = 90.00°, β = 90.00°, γ = 90.00°
Sites, in units of the cell vectors:
1 Al 0.0000 0.0000 0.5000
2 Al 0.5000 0.5000 0.5000
3 Cu 0.0000 0.0000 0.0000
4 Cu 0.5000 0.5000 0.0000
5 Cu 0.5000 0.0000 0.3673
6 Cu 0.0000 0.5000 0.6327
7 Ge 0.5000 0.0000 0.1315
8 Ge 0.0000 0.5000 0.8685
9 Pr 0.0000 0.5000 0.2399
10 Pr 0.5000 0.0000 0.7601



# 2
Nd2HoZn3InGa2: optimized geometry, PBE.

## Properties
Total moment in Bohr magnetons per cell: 0.01
Raw total energy in eV per atom: -3.455

a = 4.4523 Å, b = 7.1674 Å, c = 7.1674 Å
α = 119.58°, β = 90.00°, γ = 90.00°
Sites, in units of the cell vectors:
1 Ga 0.5000 0.6612 0.3361
2 Ga 0.5000 0.3361 0.6612
3 Ho 0.0000 0.4401 0.4401
4 In 0.0000 0.0063 0.0063
5 Nd 0.0000 0.9982 0.5592
6 Nd 0.0000 0.5592 0.9982
7 Zn 0.5000 0.2524 0.0010
8 Zn 0.5000 0.0010 0.2524
9 Zn 0.5000 0.7455 0.7455



# 3
GdGa2Au2: optimized geometry, PBE.

## Properties
Total moment in Bohr magnetons per cell: 0.00
Raw total energy in eV per atom: -4.041

a = 6.0218 Å, b = 6.0218 Å, c = 6.0218 Å
α = 136.84°, β = 136.84°, γ = 62.68°
Sites, in units of the cell vectors:
1 Au 0.7500 0.2500 0.5000
2 Au 0.2500 0.7500 0.5000
3 Ga 0.3825 0.3825 0.0000
4 Ga 0.6175 0.6175 0.0000
5 Gd 0.0000 0.0000 0.0000



# 4
PrPAuO: optimized geometry, PBE.

## Properties
Energy above the most stable polymorph in this dataset in eV/f.u.: 0.00
Total moment in Bohr magnetons per cell: 0.04

a = 4.1724 Å, b = 4.1724 Å, c = 8.4274 Å
α = 90.00°, β = 90.00°, γ = 90.00°
Sites, in units of the cell vectors:
1 Au 0.0000 0.0000 0.5000
2 Au 0.5000 0.5000 0.5000
3 O 0.0000 0.0000 0.0000
4 O 0.5000 0.5000 0.0000
5 P 0.5000 0.0000 0.3230
6 P 0.0000 0.5000 0.6770
7 Pr 0.0000 0.5000 0.1371
8 Pr 0.5000 0.0000 0.8629



# 5
CsHgCl3: optimized geometry, PBE.

## Properties
Energy above the most stable polymorph in this dataset in eV/f.u.: 0.15

a = 5.3729 Å, b = 5.3729 Å, c = 5.3729 Å
α = 89.99°, β = 89.99°, γ = 89.99°
Sites, in units of the cell vectors:
1 Cl 0.9897 0.4889 0.4889
2 Cl 0.4889 0.9897 0.4889
3 Cl 0.4889 0.4889 0.9897
4 Cs 0.9968 0.9968 0.9968
5 Hg 0.4916 0.4916 0.4916



# 6
Ag2Hg2SeF6: optimized geometry, PBE.

## Properties
Raw total energy in eV per atom: -2.945

a = 7.9280 Å, b = 7.9280 Å, c = 7.9280 Å
α = 60.00°, β = 60.00°, γ = 60.00°
Sites, in units of the cell vectors:
1 Ag 0.6250 0.6250 0.1250
2 Ag 0.6250 0.1250 0.6250
3 Ag 0.1250 0.6250 0.6250
4 Ag 0.6250 0.6250 0.6250
5 F 0.7079 0.2921 0.2921
6 F 0.2921 0.7079 0.2921
7 F 0.7079 0.7079 0.2921
8 F 0.9579 0.5421 0.5421
9 F 0.5421 0.9579 0.5421
10 F 0.9579 0.9579 0.5421
11 F 0.2921 0.2921 0.7079
12 F 0.7079 0.2921 0.7079
13 F 0.2921 0.7079 0.7079
14 F 0.5421 0.5421 0.9579
15 F 0.9579 0.5421 0.9579
16 F 0.5421 0.9579 0.9579
17 Hg 0.1250 0.1250 0.1250
18 Hg 0.6250 0.1250 0.1250
19 Hg 0.1250 0.6250 0.1250
20 Hg 0.1250 0.1250 0.6250
21 Se 0.0000 0.0000 0.0000
22 Se 0.2500 0.2500 0.2500



# 7
FeNiTe3Pb: optimized geometry, PBE.

## Properties
Energy above the most stable polymorph in this dataset in eV/f.u.: 0.00
Total moment in Bohr magnetons per cell: 3.53

a = 7.2437 Å, b = 7.2437 Å, c = 10.9228 Å
α = 90.00°, β = 90.00°, γ = 30.06°
Site moments in Bohr magnetons follow the coordinates.
Sites, in units of the cell vectors:
1 Fe 0.3852 0.3852 0.2500  1.88
2 Fe 0.6148 0.6148 0.7500  1.88
3 Ni 0.0000 0.0000 0.0000  -0.06
4 Ni 0.0000 0.0000 0.5000  -0.06
5 Pb 0.7367 0.7367 0.2500  -0.03
6 Pb 0.2633 0.2633 0.7500  -0.03
7 Te 0.3748 0.3748 0.0179  -0.01
8 Te 0.0098 0.0098 0.2500  0.00
9 Te 0.3748 0.3748 0.4821  -0.01
10 Te 0.6252 0.6252 0.5179  -0.01
11 Te 0.9902 0.9902 0.7500  0.00
12 Te 0.6252 0.6252 0.9821  -0.01



# 8
LiPdAu2: optimized geometry, PBE.

## Properties
Energy above the most stable polymorph in this dataset in eV/f.u.: 0.15

a = 4.0526 Å, b = 7.9010 Å, c = 8.1019 Å
α = 90.00°, β = 90.00°, γ = 90.00°
Sites, in units of the cell vectors:
1 Au 0.7499 0.0002 0.1250
2 Au 0.7499 0.4998 0.1250
3 Au 0.2499 0.5002 0.3750
4 Au 0.2499 0.9998 0.3750
5 Au 0.7501 0.0002 0.6250
6 Au 0.7501 0.4998 0.6250
7 Au 0.2501 0.5002 0.8750
8 Au 0.2501 0.9998 0.8750
9 Li 0.2497 0.7500 0.1250
10 Li 0.7497 0.2500 0.3750
11 Li 0.2503 0.7500 0.6250
12 Li 0.7503 0.2500 0.8750
13 Pd 0.2498 0.2500 0.1250
14 Pd 0.7498 0.7500 0.3750
15 Pd 0.2502 0.2500 0.6250
16 Pd 0.7502 0.7500 0.8750



# 9
IrS2: optimized geometry, PBE.

## Properties
Total moment in Bohr magnetons per cell: 0.00
Raw total energy in eV per atom: -5.296

a = 4.1973 Å, b = 4.1973 Å, c = 5.8514 Å
α = 90.00°, β = 90.00°, γ = 90.00°
Sites, in units of the cell vectors:
1 Ir 0.0000 0.5000 0.2166
2 Ir 0.5000 0.0000 0.7834
3 S 0.0000 0.0000 0.0000
4 S 0.5000 0.5000 0.0000
5 S 0.5000 0.0000 0.4148
6 S 0.0000 0.5000 0.5852



# 10
ErTlHg: optimized geometry, PBE.

## Properties
Energy above the most stable polymorph in this dataset in eV/f.u.: 0.00
Total moment in Bohr magnetons per cell: 0.00

a = 4.9060 Å, b = 4.9060 Å, c = 4.9060 Å
α = 60.00°, β = 60.00°, γ = 60.00°
Sites, in units of the cell vectors:
1 Er 0.2500 0.2500 0.2500
2 Hg 0.7500 0.7500 0.7500
3 Tl 0.0000 0.0000 0.0000



# 11
AlFeAgHg: optimized geometry, PBE.

## Properties
Energy above the most stable polymorph in this dataset in eV/f.u.: 0.00
Total moment in Bohr magnetons per cell: 2.26

a = 4.5473 Å, b = 4.5473 Å, c = 4.5473 Å
α = 60.00°, β = 60.00°, γ = 60.00°
Sites, in units of the cell vectors:
1 Ag 0.2500 0.2500 0.2500
2 Al 0.0000 0.0000 0.0000
3 Fe 0.7500 0.7500 0.7500
4 Hg 0.5000 0.5000 0.5000



# 12
LaAgO3: optimized geometry, PBE.

## Properties
Total moment in Bohr magnetons per cell: 0.00
Raw total energy in eV per atom: -5.955

a = 6.3152 Å, b = 6.3152 Å, c = 6.3152 Å
α = 56.04°, β = 56.04°, γ = 56.04°
Sites, in units of the cell vectors:
1 Ag 0.2500 0.2500 0.2500
2 Ag 0.7500 0.7500 0.7500
3 La 0.0000 0.0000 0.0000
4 La 0.5000 0.5000 0.5000
5 O 0.7500 0.4069 0.0931
6 O 0.5931 0.9069 0.2500
7 O 0.0931 0.7500 0.4069
8 O 0.9069 0.2500 0.5931
9 O 0.4069 0.0931 0.7500
10 O 0.2500 0.5931 0.9069